ErBiAu2 PBE optimized geometry; space group = P4/mmm; calculated formation energy = -0.50 eV/atom
1.0
4.408 0.000 0.000
0.000 4.551 0.000
0.000 0.000 4.551
Au Bi Er
2 1 1
Cartesian
0.000 0.000 2.275 Au
0.000 2.275 0.000 Au
2.204 0.000 0.000 Bi
2.204 2.275 2.275 Er